! GaCoF2 | Alexandria | PBE+U | relaxed; values from VASP
! Symmetry: R-3m
! Volume in A^3/atom: 14.9
! Energy in eV for the cell shown: -16.494
! Energy above the most stable polymorph in this dataset in meV/atom: 241
! Density in g cm⁻³: 4.66
&SYSTEM
  ibrav = 0, nat = 4, ntyp = 3
/
ATOMIC_SPECIES
Ga 69.72 Ga.upf
Co 58.93 Co.upf
F 19.00 F.upf
ATOMIC_POSITIONS crystal
Ga 0.000 0.000 0.000
Co 0.500 0.500 0.500
F 0.424 0.424 0.424
F 0.576 0.576 0.576
CELL_PARAMETERS angstrom
1.477 0.853 7.870
-1.477 0.853 7.870
0.000 -1.705 7.870